(1)
A geometry-optimized PmSnPt2 structure, computed with PBE.

- formation energy from the elements (eV per atom) = -0.9372
- M_tot (μB/cell) = 0.00
- crystal system = orthorhombic

```
data_PmSnPt2
_cell_length_a 7.527
_cell_length_b 7.214
_cell_length_c 6.391
_cell_angle_alpha 90.00
_cell_angle_beta 90.00
_cell_angle_gamma 90.00
_symmetry_space_group_name_H-M 'P n m a'
_symmetry_Int_Tables_number 62
loop_
_symmetry_equiv_pos_as_xyz
'x,y,z'
'-x,-y,-z'
'-x+1/2,-y,z+1/2'
'x+1/2,y,-z+1/2'
'x+1/2,-y+1/2,-z+1/2'
'-x+1/2,y+1/2,z+1/2'
'-x,y+1/2,-z'
'x,-y+1/2,z'
loop_
_atom_site_label
_atom_site_type_symbol
_atom_site_fract_x
_atom_site_fract_y
_atom_site_fract_z
Pm1 Pm 0.024 0.250 0.171
Sn1 Sn 0.116 0.750 0.335
Pt1 Pt 0.193 0.052 0.558
```

---

(2)
A geometry-optimized LiCaRu2 structure, computed with PBE.

- formation energy from the elements (eV per atom) = 0.5316
- offset from the most stable computed form (eV/atom) = 0.291
- M_tot (μB/cell) = 2.43
- crystal system = trigonal

```
data_LiCaRu2
_cell_length_a 2.8362
_cell_length_b 2.8362
_cell_length_c 27.9923
_cell_angle_alpha 90.00
_cell_angle_beta 90.00
_cell_angle_gamma 120.00
_symmetry_space_group_name_H-M 'R -3 m'
_symmetry_Int_Tables_number 166
_symmetry_space_group_name_Hall '-R 3 2"'
loop_
_atom_site_label
_atom_site_type_symbol
_atom_site_fract_x
_atom_site_fract_y
_atom_site_fract_z
Li1 Li 0.0000 0.0000 0.0000
Ca1 Ca 0.0000 0.0000 0.5000
Ru1 Ru 0.0000 0.0000 0.2546
```